Entry 1:
Ir5Os | PBEsol | optimized geometry

abc: 4.7179 4.7179 4.3791
angles: 90.00 90.00 120.00
Space group P-62m (No. 189)
Symmetry-distinct sites (fractional):
Ir 0.0000 0.6687 0.0000 [3 per cell]
Ir 0.3333 0.6667 0.5000 [2 per cell]
Os 0.0000 0.0000 0.5000 [1 per cell]

**ΔH_f (0 K)**: 0.33 eV per formula unit
**Total moment**: 0.00 Bohr magnetons per cell
**D(E_F)**: 1.0372 states/eV/atom

=====

Entry 2:
Ir5Os | PBEsol | optimized geometry

abc: 2.707 2.707 11.514
angles: 90.00 90.00 90.00
Space group P4/mmm (No. 123)
Symmetry-distinct sites (fractional):
Ir 0.000 0.000 0.000 [1 per cell]
Ir 0.000 0.000 0.336 [2 per cell]
Ir 0.500 0.500 0.165 [2 per cell]
Os 0.500 0.500 0.500 [1 per cell]

**ΔH_f (0 K)**: 0.04 eV per formula unit
**Total moment**: 0.00 Bohr magnetons per cell
**D(E_F)**: 0.8314 states/eV/atom

=====

Entry 3:
IrOs5 | PBEsol | optimized geometry

abc: 4.324 2.732 14.213
angles: 90.00 90.00 90.00
Space group Amm2 (No. 38)
Symmetry-distinct sites (fractional):
Ir 0.000 0.000 0.000 [2 per cell]
Os 0.000 0.000 0.331 [2 per cell]
Os 0.000 0.000 0.667 [2 per cell]
Os 0.500 0.000 0.222 [2 per cell]
Os 0.500 0.000 0.556 [2 per cell]
Os 0.500 0.000 0.888 [2 per cell]

**ΔH_f (0 K)**: -0.05 eV per formula unit
**Total moment**: 0.00 Bohr magnetons per cell
**D(E_F)**: 0.5829 states/eV/atom

=====

Question: Which formula does entry 1 have?
Answer: Ir5Os

=====

Question: The highest D(E_F) belongs to which entry?
Answer: number 1